(1)
PBE-GGA CaSi2Pt, relaxed; energy = -5.3903 eV/atom; magnetization = 0.000 μB/atom; E_form (uncorrected) = -0.668 eV per atom; SG = Cm, No. 8
1.0
4.1079 -0.0145 -0.0033
2.0742 3.5458 -0.0033
2.0659 1.1801 5.4671
Ca Pt Si
1 1 2
direct
0.4932 0.4932 0.5197 Ca
0.6813 0.6813 0.9565 Pt
0.0411 0.0411 0.8760 Si
0.2844 0.2844 0.1478 Si

(2)
PBE-GGA CsNpTl2F6, relaxed; energy = -5.6121 eV/atom; magnetization = 0.390 μB/atom; E_form (uncorrected) = -2.637 eV per atom; SG = P2_1/c, No. 14
1.0
7.4187 0.0000 -0.0938
0.0000 6.7231 0.0000
-0.0150 0.0000 9.5752
Tl F Np Cs
4 12 2 2
direct
0.9960 0.0065 0.7689 Tl
0.5040 0.5065 0.7311 Tl
0.0040 0.9935 0.2311 Tl
0.4960 0.4935 0.2689 Tl
0.1285 0.4041 0.7962 F
0.7138 0.1783 0.6221 F
0.7862 0.6783 0.8779 F
0.6567 0.7087 0.5181 F
0.3715 0.9041 0.7038 F
0.3433 0.2913 0.4819 F
0.1567 0.7913 0.0181 F
0.8715 0.5959 0.2038 F
0.2862 0.8217 0.3779 F
0.8433 0.2087 0.9819 F
0.6285 0.0959 0.2962 F
0.2138 0.3217 0.1221 F
0.5000 0.0000 0.5000 Np
0.0000 0.5000 0.0000 Np
0.5000 0.0000 0.0000 Cs
0.0000 0.5000 0.5000 Cs

(3)
PBE-GGA RbBaNp4N8, relaxed; energy = -9.5396 eV/atom; magnetization = 0.500 μB/atom; E_form (uncorrected) = -0.878 eV per atom; SG = R3m, No. 160
1.0
-3.2680 3.1912 5.2376
-6.0067 -2.5344 2.4068
0.2531 -3.5471 6.9297
N Ba Np Rb
8 1 4 1
direct
0.2187 0.2187 0.3438 N
0.2975 0.7949 0.6101 N
0.7965 0.7965 0.6104 N
0.7400 0.7400 0.3115 N
0.2975 0.2975 0.6101 N
0.7400 0.2085 0.3115 N
0.2085 0.7400 0.3115 N
0.7949 0.2975 0.6101 N
0.0042 0.0042 0.9875 Ba
0.0074 0.0074 0.4760 Np
0.0074 0.5093 0.4760 Np
0.5236 0.5236 0.4292 Np
0.5093 0.0074 0.4760 Np
0.3546 0.3546 0.9363 Rb

(4)
PBE-GGA VTeRhN2, relaxed; energy = -5.9693 eV/atom; magnetization = 0.000 μB/atom; E_form (uncorrected) = 1.283 eV per atom; SG = P4/mmm, No. 123
1.0
3.7789 0.0000 0.0000
0.0000 3.7789 0.0000
0.0000 0.0000 6.8556
N V Te Rh
2 1 1 1
direct
0.5000 0.0000 0.0000 N
0.0000 0.5000 0.0000 N
0.5000 0.5000 0.5000 V
0.0000 0.0000 0.5000 Te
0.0000 0.0000 0.0000 Rh

(5)
PBE-GGA NaHg3Bi, relaxed; energy = -1.0610 eV/atom; magnetization = 0.000 μB/atom; formation energy from the elements = 0.160 eV per atom; SG = Pm-3m, No. 221
1.0
-0.1980 -4.2214 4.1842
-3.5692 -3.2632 -3.4610
4.7527 -2.6265 -2.4250
Bi Hg Na
1 3 1
direct
0.0000 0.0000 0.0000 Bi
0.5000 0.0000 0.0000 Hg
0.0000 0.0000 0.5000 Hg
0.0000 0.5000 0.0000 Hg
0.5000 0.5000 0.5000 Na

(6)
PBE-GGA SrSn2Te2, relaxed; energy = -3.7546 eV/atom; magnetization = 0.000 μB/atom; E_form (uncorrected) = -0.560 eV per atom; SG = I4/mmm, No. 139
1.0
-2.4060 -3.3000 1.4078
1.9993 -2.6407 -2.7731
5.9438 -4.8130 5.5039
Te Sn Sr
2 2 1
direct
0.4047 0.4047 0.1906 Te
0.5953 0.5953 0.8094 Te
0.2500 0.7500 0.5000 Sn
0.7500 0.2500 0.5000 Sn
0.0000 0.0000 0.0000 Sr